First-principles (PBE with a Hubbard U) data for a geometry-optimized KMn2CdO structure, as listed in Alexandria via LeMat-Bulk.

Output
DOS(E_F) = 2.01 states/eV per cell
magnetic moment = 9.07 μB/f.u.
E = -22.9 eV/f.u.
SG = P4/mmm

Lattice parameters (Å, degrees): 4.4549 5.3083 4.4549 90.00 90.00 90.00
Closest atoms and distances in Å follow each position.
Fractional coordinates of all 5 atoms:
O 0.0000 0.0000 0.0000  4 Mn 2.23
Mn 0.5000 0.0000 0.0000  2 O 2.23
Mn 0.0000 0.0000 0.5000  2 O 2.23
K 0.0000 0.5000 0.0000  2 O 2.65
Cd 0.5000 0.5000 0.5000  4 K 3.15, 8 Mn 3.46